(1)
VASP calculation (GGA-PBE) on crystalline Nd2O3 at its relaxed geometry.

As for the total DFT energy (no corrections): -8.2148 eV/atom. For the density of states at the Fermi level, the calculation gives 0.00 states/eV per cell. As for the symmetry: P-3m1. The calculation puts the raw formation energy at -3.333 eV per atom.

Cell lengths 3.8601, 3.8601, 6.0912 Å; angles 90.00, 90.00, 120.00 degrees
Last column: nearest neighbours and their distance in Å.
Sites, in units of the cell vectors:
Nd 0.3333 0.6667 0.2489  4 O 2.32-2.41
Nd 0.6667 0.3333 0.7511  4 O 2.32-2.41
O 0.0000 0.0000 0.0000  6 Nd 2.70
O 0.3333 0.6667 0.6447  4 Nd 2.32-2.41
O 0.6667 0.3333 0.3553  4 Nd 2.32-2.41



(2)
VASP calculation (GGA-PBE) on crystalline Nd3O at its relaxed geometry.

As for the total DFT energy (no corrections): -5.8339 eV/atom. For the density of states at the Fermi level, the calculation gives 3.48 states/eV per cell. As for the symmetry: Imm2. The calculation puts the raw formation energy at -1.018 eV per atom. The calculation puts the offset from the most stable computed form at 131.3 meV/atom.

Cell lengths 6.2428, 6.2428, 6.2428 Å; angles 149.09, 68.52, 120.55 degrees
Last column: nearest neighbours and their distance in Å.
Sites, in units of the cell vectors:
Nd 0.0000 0.0000 0.0000  2 O 2.48
Nd 0.3222 0.4854 0.8368  2 O 2.64
Nd 0.6486 0.4854 0.1632  2 O 2.64
O 0.2978 0.7978 0.5000  6 Nd 2.48-2.64



(3)
VASP calculation (GGA-PBE) on crystalline Nd2O5 at its relaxed geometry.

As for the total DFT energy (no corrections): -7.2366 eV/atom. For the density of states at the Fermi level, the calculation gives 0.00 states/eV per cell. As for the symmetry: C2/c. The calculation puts the raw formation energy at -2.333 eV per atom.

Cell lengths 7.0146, 7.0146, 6.0988 Å; angles 111.29, 111.29, 47.26 degrees
Last column: nearest neighbours and their distance in Å.
Sites, in units of the cell vectors:
Nd 0.1001 0.6815 0.9451  7 O 2.33-2.58
Nd 0.3185 0.8999 0.5549  7 O 2.33-2.58
Nd 0.6815 0.1001 0.4451  7 O 2.33-2.58
Nd 0.8999 0.3185 0.0549  7 O 2.33-2.58
O 0.0056 0.6164 0.2726  1 O 1.49
O 0.0587 0.9413 0.7500  4 Nd 2.33-2.37
O 0.2795 0.5228 0.3189  1 O 1.49
O 0.3836 0.9944 0.2274  1 O 1.49
O 0.4772 0.7205 0.1811  1 O 1.49
O 0.5228 0.2795 0.8189  1 O 1.49
O 0.6164 0.0056 0.7726  1 O 1.49
O 0.7205 0.4772 0.6811  1 O 1.49
O 0.9413 0.0587 0.2500  4 Nd 2.33-2.37
O 0.9944 0.3836 0.7274  1 O 1.49



(4)
VASP calculation (GGA-PBE) on crystalline Nd2O3 at its relaxed geometry.

As for the total DFT energy (no corrections): -8.0344 eV/atom. For the density of states at the Fermi level, the calculation gives 0.00 states/eV per cell. As for the symmetry: P6/mmm. The calculation puts the raw formation energy at -3.152 eV per atom.

Cell lengths 6.2414, 6.2414, 3.2100 Å; angles 90.00, 90.00, 120.00 degrees
Last column: nearest neighbours and their distance in Å.
Sites, in units of the cell vectors:
Nd 0.3333 0.6667 0.0000  6 O 2.41
Nd 0.6667 0.3333 0.0000  6 O 2.41
O 0.0000 0.5000 0.5000  4 Nd 2.41
O 0.5000 0.0000 0.5000  4 Nd 2.41
O 0.5000 0.5000 0.5000  4 Nd 2.41



(5)
VASP calculation (GGA-PBE) on crystalline NdO2 at its relaxed geometry.

As for the total DFT energy (no corrections): -7.4993 eV/atom. For the density of states at the Fermi level, the calculation gives 2.29 states/eV per cell. As for the symmetry: I4/mmm. The calculation puts the raw formation energy at -2.605 eV per atom.

Cell lengths 3.9507, 3.9507, 3.9507 Å; angles 116.74, 116.74, 95.75 degrees
Last column: nearest neighbours and their distance in Å.
Sites, in units of the cell vectors:
Nd 0.0000 0.0000 0.0000  8 O 2.46
O 0.2500 0.7500 0.5000  4 Nd 2.46, 2 O 2.65
O 0.7500 0.2500 0.5000  4 Nd 2.46, 2 O 2.65



(6)
VASP calculation (GGA-PBE) on crystalline Nd2O3 at its relaxed geometry.

As for the total DFT energy (no corrections): -7.3144 eV/atom. As for the symmetry: Pm-3m. The calculation puts the raw formation energy at -2.432 eV per atom.

Cell lengths 4.5011, 4.5011, 4.5011 Å; angles 90.00, 90.00, 90.00 degrees
Last column: nearest neighbours and their distance in Å.
Sites, in units of the cell vectors:
Nd 0.0000 0.0000 0.0000  6 O 2.25
Nd 0.5000 0.5000 0.5000  12 O 3.18
O 0.0000 0.0000 0.5000  2 Nd 2.25
O 0.0000 0.5000 0.0000  2 Nd 2.25
O 0.5000 0.0000 0.0000  2 Nd 2.25



The highest raw formation energy belongs to which entry?
Nd3O



Copy entry 4 word for word.
VASP calculation (GGA-PBE) on crystalline Nd2O3 at its relaxed geometry.

As for the total DFT energy (no corrections): -8.0344 eV/atom. For the density of states at the Fermi level, the calculation gives 0.00 states/eV per cell. As for the symmetry: P6/mmm. The calculation puts the raw formation energy at -3.152 eV per atom.

Cell lengths 6.2414, 6.2414, 3.2100 Å; angles 90.00, 90.00, 120.00 degrees
Last column: nearest neighbours and their distance in Å.
Sites, in units of the cell vectors:
Nd 0.3333 0.6667 0.0000  6 O 2.41
Nd 0.6667 0.3333 0.0000  6 O 2.41
O 0.0000 0.5000 0.5000  4 Nd 2.41
O 0.5000 0.0000 0.5000  4 Nd 2.41
O 0.5000 0.5000 0.5000  4 Nd 2.41



Which formula does entry 2 have?
Nd3O